# SrZnSeO (PBE, optimized geometry)
# total DFT energy (no corrections)	-4.465	eV per atom
data_SrZnSeO
_chemical_formula_sum 'Sr2 Zn2 Se2 O2'
_symmetry_space_group_name_H-M 'P 1'
_symmetry_Int_Tables_number 1
_cell_length_a 4.839
_cell_length_b 4.839
_cell_length_c 7.207
_cell_angle_alpha 90.00
_cell_angle_beta 90.00
_cell_angle_gamma 90.00
loop_
_symmetry_equiv_pos_as_xyz
'x,y,z'
loop_
_atom_site_label
_atom_site_type_symbol
_atom_site_fract_x
_atom_site_fract_y
_atom_site_fract_z
Sr1 Sr 0.250 0.750 0.000
Sr2 Sr 0.750 0.250 0.000
Zn1 Zn 0.250 0.250 0.366
Zn2 Zn 0.750 0.750 0.634
Se1 Se 0.250 0.250 0.683
Se2 Se 0.750 0.750 0.317
O1 O 0.250 0.250 0.109
O2 O 0.750 0.750 0.891

# Nd2TmIrO6 (PBE, optimized geometry)
# spin magnetization	0.0	μB per cell
# total DFT energy (no corrections)	-7.949	eV per atom
data_Nd2TmIrO6
_chemical_formula_sum 'Nd4 Tm2 Ir2 O12'
_symmetry_space_group_name_H-M 'P 1'
_symmetry_Int_Tables_number 1
_cell_length_a 5.566
_cell_length_b 5.927
_cell_length_c 9.534
_cell_angle_alpha 90.00
_cell_angle_beta 123.17
_cell_angle_gamma 90.00
loop_
_symmetry_equiv_pos_as_xyz
'x,y,z'
loop_
_atom_site_label
_atom_site_type_symbol
_atom_site_fract_x
_atom_site_fract_y
_atom_site_fract_z
Nd1 Nd 0.224 0.068 0.249
Nd2 Nd 0.224 0.432 0.749
Nd3 Nd 0.776 0.568 0.251
Nd4 Nd 0.776 0.932 0.751
Tm1 Tm 0.500 0.000 0.000
Tm2 Tm 0.500 0.500 0.500
Ir1 Ir 0.000 0.000 0.500
Ir2 Ir 0.000 0.500 0.000
O1 O 0.126 0.200 0.943
O2 O 0.126 0.300 0.443
O3 O 0.245 0.697 0.943
O4 O 0.245 0.803 0.443
O5 O 0.364 0.048 0.740
O6 O 0.364 0.452 0.240
O7 O 0.636 0.548 0.760
O8 O 0.636 0.952 0.260
O9 O 0.755 0.197 0.557
O10 O 0.755 0.303 0.057
O11 O 0.874 0.700 0.557
O12 O 0.874 0.800 0.057